(1)
# KPbSe2Br, optimized geometry, DFT PBE
# E_tot, eV per atom: -3.189
# Offset from the most stable computed form, kJ/mol of formula units: 0
# Magnetization, μB per cell: 0.00
data_KPbSe2Br
_chemical_formula_sum 'K1 Pb1 Se2 Br1'
_space_group_name_H-M_alt 'P 4/m m m'
_space_group_IT_number 123
_space_group_name_Hall '-P 4 2'
_cell_length_a 5.466
_cell_length_b 5.466
_cell_length_c 6.033
_cell_angle_alpha 90.00
_cell_angle_beta 90.00
_cell_angle_gamma 90.00
loop_
_atom_site_label
_atom_site_type_symbol
_atom_site_fract_x
_atom_site_fract_y
_atom_site_fract_z
K1 K 0.000 0.000 0.000
Pb1 Pb 0.500 0.500 0.500
Se1 Se 0.000 0.500 0.500
Br1 Br 0.500 0.500 0.000

=====

(2)
# PmSmEr2Sc, optimized geometry, DFT PBE
# E_tot, eV per atom: -4.664
# Magnetization, μB per cell: 0.00
data_PmSmEr2Sc
_chemical_formula_sum 'Pm4 Sm4 Er8 Sc4'
_space_group_name_H-M_alt 'C m c m'
_space_group_IT_number 63
_space_group_name_Hall '-C 2c 2'
_cell_length_a 8.200
_cell_length_b 11.264
_cell_length_c 7.087
_cell_angle_alpha 90.00
_cell_angle_beta 90.00
_cell_angle_gamma 90.00
loop_
_atom_site_label
_atom_site_type_symbol
_atom_site_fract_x
_atom_site_fract_y
_atom_site_fract_z
Pm1 Pm 0.000 0.232 0.250
Sm1 Sm 0.000 0.233 0.750
Er1 Er 0.197 0.000 0.000
Sc1 Sc 0.000 0.499 0.250

=====

(3)
# ScVAs2Br, optimized geometry, DFT PBE
# E_tot, eV per atom: -5.343
# Offset from the most stable computed form, kJ/mol of formula units: 0
# Magnetization, μB per cell: 1.62
data_ScVAs2Br
_chemical_formula_sum 'Sc1 V1 As2 Br1'
_space_group_name_H-M_alt 'P 4/m m m'
_space_group_IT_number 123
_space_group_name_Hall '-P 4 2'
_cell_length_a 4.763
_cell_length_b 4.763
_cell_length_c 5.070
_cell_angle_alpha 90.00
_cell_angle_beta 90.00
_cell_angle_gamma 90.00
loop_
_atom_site_label
_atom_site_type_symbol
_atom_site_fract_x
_atom_site_fract_y
_atom_site_fract_z
Sc1 Sc 0.000 0.000 0.000
V1 V 0.500 0.500 0.500
As1 As 0.000 0.500 0.500
Br1 Br 0.500 0.500 0.000

=====

(4)
# BaSn2PdRh, optimized geometry, DFT PBE
# E_tot, eV per atom: -5.114
# Magnetization, μB per cell: 0.00
data_BaSn2PdRh
_chemical_formula_sum 'Ba2 Sn4 Pd2 Rh2'
_space_group_name_H-M_alt 'I -4 m 2'
_space_group_IT_number 119
_space_group_name_Hall 'I -4 -2'
_cell_length_a 4.756
_cell_length_b 4.756
_cell_length_c 11.239
_cell_angle_alpha 90.00
_cell_angle_beta 90.00
_cell_angle_gamma 90.00
loop_
_atom_site_label
_atom_site_type_symbol
_atom_site_fract_x
_atom_site_fract_y
_atom_site_fract_z
Ba1 Ba 0.000 0.000 0.000
Sn1 Sn 0.000 0.000 0.357
Pd1 Pd 0.000 0.500 0.750
Rh1 Rh 0.000 0.500 0.250